A relaxed structure of Hf2Co2O5, computed with PBE with a Hubbard U.

Summary:
Excess energy over the best structure of this formula in the dataset   0 meV per atom
Uncorrected energy   -8.17 eV/atom

Lattice parameters (Å, degrees): 3.750 3.750 8.170 90.00 90.00 90.00
Space group P4/mmm (No. 123)
Asymmetric unit:
Hf 0.000 0.000 0.245 (multiplicity 2)
Co 0.500 0.500 0.000 (multiplicity 1)
Co 0.500 0.500 0.500 (multiplicity 1)
O 0.000 0.000 0.000 (multiplicity 1)
O 0.000 0.500 0.339 (multiplicity 4)